No. 1
Compound: Ag2PBr
Source: Alexandria
Functional: PBE
Structure: relaxed

a b c (Å): 5.3134 5.3134 3.2178
angles (deg): 95.00 95.00 89.60
Element x y z (fractional)
Ag1 0.0000 0.5000 0.0000
Ag2 0.5000 0.0000 0.0000
P1 0.0000 0.0000 0.0000
Br1 0.5000 0.5000 0.0000

Results
SG	C2/m
raw total energy	-11.42	eV per formula unit
formation energy from raw total energies	0.340	eV per atom



No. 2
Compound: AgPBr2
Source: Alexandria
Functional: PBE
Structure: relaxed

a b c (Å): 5.6020 5.6020 5.6020
angles (deg): 142.36 109.17 83.10
Element x y z (fractional)
Ag1 0.0000 0.0000 0.0000
P1 0.5000 0.5000 0.0000
Br1 0.2729 0.7729 0.5000
Br2 0.7271 0.2271 0.5000

Results
SG	Immm
raw total energy	-10.14	eV per formula unit
energy relative to the lowest polymorph listed for this composition	321.9	meV per atom
formation energy from raw total energies	0.366	eV per atom



No. 3
Compound: Ag2PBr
Source: Alexandria
Functional: PBE
Structure: relaxed

a b c (Å): 5.1922 5.1922 5.1922
angles (deg): 130.15 130.15 73.16
Element x y z (fractional)
Ag1 0.2500 0.7500 0.5000
Ag2 0.7500 0.2500 0.5000
P1 0.0000 0.0000 0.0000
Br1 0.5000 0.5000 0.0000

Results
SG	I4/mmm
raw total energy	-10.67	eV per formula unit
formation energy from raw total energies	0.529	eV per atom



No. 4
Compound: AgP2Br6
Source: Alexandria
Functional: PBE
Structure: relaxed

a b c (Å): 8.1374 8.1374 8.1374
angles (deg): 53.48 53.48 53.48
Element x y z (fractional)
Ag1 0.0000 0.0000 0.0000
P1 0.2751 0.2751 0.2751
P2 0.3916 0.3916 0.3916
Br1 0.0473 0.4064 0.7218
Br2 0.2029 0.9567 0.5655
Br3 0.4064 0.7218 0.0473
Br4 0.5655 0.2029 0.9567
Br5 0.7218 0.0473 0.4064
Br6 0.9567 0.5655 0.2029

Results
SG	R3
raw total energy	-24.96	eV per formula unit
formation energy from raw total energies	-0.139	eV per atom



No. 5
Compound: Ag2PBr
Source: Alexandria
Functional: PBE
Structure: relaxed

a b c (Å): 10.0553 10.0553 10.0553
angles (deg): 17.96 17.96 17.96
Element x y z (fractional)
Ag1 0.0000 0.0000 0.0000
Ag2 0.2571 0.2571 0.2571
P1 0.5277 0.5277 0.5277
Br1 0.7431 0.7431 0.7431

Results
SG	R3m
raw total energy	-11.20	eV per formula unit
formation energy from raw total energies	0.398	eV per atom



No. 6
Compound: Ag2PBr
Source: Alexandria
Functional: PBE
Structure: relaxed

a b c (Å): 3.4909 3.4909 7.4002
angles (deg): 90.00 90.00 90.00
Element x y z (fractional)
Ag1 0.0000 0.0000 0.0000
Ag2 0.5000 0.5000 0.2367
P1 0.5000 0.5000 0.8886
Br1 0.0000 0.0000 0.4466

Results
SG	P4mm
raw total energy	-12.08	eV per formula unit
formation energy from raw total energies	0.177	eV per atom



No. 7
Compound: Ag2PBr
Source: Alexandria
Functional: PBE
Structure: relaxed

a b c (Å): 5.0146 5.0146 3.2614
angles (deg): 90.00 90.00 104.37
Element x y z (fractional)
Ag1 0.0000 0.5000 0.0000
Ag2 0.5000 0.0000 0.0000
P1 0.0000 0.0000 0.5000
Br1 0.5000 0.5000 0.5000

Results
SG	Cmmm
raw total energy	-11.16	eV per formula unit
formation energy from raw total energies	0.407	eV per atom



No. 8
Compound: Ag2PBr
Source: Alexandria
Functional: PBE
Structure: relaxed

a b c (Å): 4.5602 4.5602 6.4519
angles (deg): 110.39 110.39 46.07
Element x y z (fractional)
Ag1 0.0000 0.0000 0.0000
Ag2 0.2024 0.2024 0.7282
P1 0.7240 0.7240 0.0473
Br1 0.4096 0.4096 0.4669

Results
SG	Cm
raw total energy	-12.01	eV per formula unit
formation energy from raw total energies	0.193	eV per atom



No. 9
Compound: Ag2PBr
Source: Alexandria
Functional: PBE
Structure: relaxed

a b c (Å): 7.4766 7.4766 7.4766
angles (deg): 153.94 152.17 38.49
Element x y z (fractional)
Ag1 0.0000 0.0000 0.0000
Ag2 0.7073 0.2073 0.5000
P1 0.5703 0.5703 0.0000
Br1 0.3243 0.8243 0.5000

Results
SG	Imm2
raw total energy	-12.16	eV per formula unit
formation energy from raw total energies	0.157	eV per atom



No. 10
Compound: AgPBr2
Source: Alexandria
Functional: PBE
Structure: relaxed

a b c (Å): 5.9541 3.6509 6.3714
angles (deg): 90.00 104.90 90.00
Element x y z (fractional)
Ag1 0.0000 0.0000 0.0000
P1 0.9558 0.5000 0.2527
Br1 0.0798 0.0000 0.6269
Br2 0.5708 0.5000 0.1926

Results
SG	Pm
raw total energy	-11.33	eV per formula unit
energy relative to the lowest polymorph listed for this composition	23.9	meV per atom
formation energy from raw total energies	0.068	eV per atom



No. 11
Compound: AgPBr2
Source: Alexandria
Functional: PBE
Structure: relaxed

a b c (Å): 3.8010 3.8010 9.0690
angles (deg): 90.00 90.00 124.14
Element x y z (fractional)
Ag1 0.0000 0.0000 0.0000
P1 0.5000 0.5000 0.1847
Br1 0.0000 0.0000 0.4053
Br2 0.5000 0.5000 0.7935

Results
SG	Cmm2
raw total energy	-10.48	eV per formula unit
energy relative to the lowest polymorph listed for this composition	237.5	meV per atom
formation energy from raw total energies	0.282	eV per atom



No. 12
Compound: AgPBr2
Source: Alexandria
Functional: PBE
Structure: relaxed

a b c (Å): 3.2126 3.9029 8.6778
angles (deg): 90.00 90.00 90.00
Element x y z (fractional)
Ag1 0.0000 0.0000 0.0000
P1 0.5000 0.5000 0.0866
Br1 0.0000 0.0000 0.6931
Br2 0.5000 0.5000 0.3392

Results
SG	Pmm2
raw total energy	-11.43	eV per formula unit
energy relative to the lowest polymorph listed for this composition	0.0	meV per atom
formation energy from raw total energies	0.045	eV per atom



No. 13
Compound: AgPBr2
Source: Alexandria
Functional: PBE
Structure: relaxed

a b c (Å): 8.9069 8.9069 8.9069
angles (deg): 24.26 24.26 24.26
Element x y z (fractional)
Ag1 0.0000 0.0000 0.0000
P1 0.5000 0.5000 0.5000
Br1 0.4043 0.4043 0.4043
Br2 0.5957 0.5957 0.5957

Results
SG	R-3m
raw total energy	-10.61	eV per formula unit
energy relative to the lowest polymorph listed for this composition	205.2	meV per atom
formation energy from raw total energies	0.250	eV per atom



No. 14
Compound: AgPBr2
Source: Alexandria
Functional: PBE
Structure: relaxed

a b c (Å): 8.1979 8.1979 8.1979
angles (deg): 152.64 152.64 39.08
Element x y z (fractional)
Ag1 0.0000 0.0000 0.0000
P1 0.7500 0.2500 0.5000
Br1 0.2500 0.7500 0.5000
Br2 0.5000 0.5000 0.0000

Results
SG	I-4m2
raw total energy	-10.16	eV per formula unit
energy relative to the lowest polymorph listed for this composition	316.1	meV per atom
formation energy from raw total energies	0.361	eV per atom



No. 15
Compound: AgPBr2
Source: Alexandria
Functional: PBE
Structure: relaxed

a b c (Å): 4.6652 4.6652 6.6329
angles (deg): 97.60 97.60 44.94
Element x y z (fractional)
Ag1 0.0000 0.0000 0.0000
P1 0.5000 0.5000 0.5000
Br1 0.3109 0.3109 0.7540
Br2 0.6891 0.6891 0.2460

Results
SG	C2/m
raw total energy	-10.35	eV per formula unit
energy relative to the lowest polymorph listed for this composition	270.7	meV per atom
formation energy from raw total energies	0.315	eV per atom



No. 16
Compound: Ag2PBr
Source: Alexandria
Functional: PBE
Structure: relaxed

a b c (Å): 3.2909 3.4207 7.3807
angles (deg): 90.00 90.08 90.00
Element x y z (fractional)
Ag1 0.0009 0.0000 0.1967
Ag2 0.9991 0.0000 0.8033
P1 0.5000 0.5000 0.0000
Br1 0.0000 0.5000 0.5000

Results
SG	P2/m
raw total energy	-12.03	eV per formula unit
formation energy from raw total energies	0.189	eV per atom



No. 17
Compound: AgPBr2
Source: Alexandria
Functional: PBE
Structure: relaxed

a b c (Å): 4.9970 4.9970 4.9970
angles (deg): 60.00 60.00 60.00
Element x y z (fractional)
Ag1 0.0000 0.0000 0.0000
P1 0.7500 0.7500 0.7500
Br1 0.2500 0.2500 0.2500
Br2 0.5000 0.5000 0.5000

Results
SG	F-43m
raw total energy	-8.56	eV per formula unit
energy relative to the lowest polymorph listed for this composition	716.9	meV per atom
formation energy from raw total energies	0.761	eV per atom



No. 18
Compound: Ag2PBr
Source: Alexandria
Functional: PBE
Structure: relaxed

a b c (Å): 3.3476 3.3476 7.1438
angles (deg): 90.00 90.00 90.00
Element x y z (fractional)
Ag1 0.0000 0.0000 0.2078
Ag2 0.0000 0.0000 0.7922
P1 0.5000 0.5000 0.0000
Br1 0.5000 0.5000 0.5000

Results
SG	P4/mmm
raw total energy	-11.71	eV per formula unit
formation energy from raw total energies	0.268	eV per atom



No. 19
Compound: Ag2PBr
Source: Alexandria
Functional: PBE
Structure: relaxed

a b c (Å): 7.2357 7.2357 7.2357
angles (deg): 149.78 149.78 43.27
Element x y z (fractional)
Ag1 0.0000 0.0000 0.0000
Ag2 0.7500 0.2500 0.5000
P1 0.5000 0.5000 0.0000
Br1 0.2500 0.7500 0.5000

Results
SG	I-4m2
raw total energy	-11.26	eV per formula unit
formation energy from raw total energies	0.383	eV per atom



No. 20
Compound: AgPBr2
Source: Alexandria
Functional: PBE
Structure: relaxed

a b c (Å): 8.2992 8.2992 8.2992
angles (deg): 25.37 25.37 25.37
Element x y z (fractional)
Ag1 0.0000 0.0000 0.0000
P1 0.5000 0.5000 0.5000
Br1 0.2529 0.2529 0.2529
Br2 0.7471 0.7471 0.7471

Results
SG	R-3m
raw total energy	-9.60	eV per formula unit
energy relative to the lowest polymorph listed for this composition	457.3	meV per atom
formation energy from raw total energies	0.502	eV per atom



No. 21
Compound: AgPBr2
Source: Alexandria
Functional: PBE
Structure: relaxed

a b c (Å): 6.1505 6.1505 6.3642
angles (deg): 97.74 97.74 34.59
Element x y z (fractional)
Ag1 0.0000 0.0000 0.0000
P1 0.4795 0.4795 0.2577
Br1 0.0432 0.0432 0.6206
Br2 0.2902 0.2902 0.2565

Results
SG	Cm
raw total energy	-11.34	eV per formula unit
energy relative to the lowest polymorph listed for this composition	22.4	meV per atom
formation energy from raw total energies	0.067	eV per atom



No. 22
Compound: AgPBr6
Source: Alexandria
Functional: PBE
Structure: relaxed

a b c (Å): 6.7707 6.7712 7.0557
angles (deg): 90.04 118.67 119.92
Element x y z (fractional)
Ag1 0.0000 0.0000 0.0000
P1 0.0000 0.5000 0.5000
Br1 0.1307 0.4122 0.2649
Br2 0.1477 0.2820 0.7353
Br3 0.4528 0.8653 0.7350
Br4 0.5472 0.1347 0.2650
Br5 0.8523 0.7180 0.2647
Br6 0.8693 0.5878 0.7351

Results
SG	P-1
raw total energy	-19.25	eV per formula unit
formation energy from raw total energies	-0.119	eV per atom



No. 23
Compound: Ag2PBr6
Source: Alexandria
Functional: PBE
Structure: relaxed

a b c (Å): 6.7135 6.5568 13.5098
angles (deg): 90.00 119.57 90.00
Element x y z (fractional)
Ag1 0.1730 0.0013 0.1729
Ag2 0.1730 0.4987 0.6729
Ag3 0.8270 0.5013 0.3271
Ag4 0.8270 0.9987 0.8271
P1 0.5000 0.0000 0.0000
P2 0.5000 0.5000 0.5000
Br1 0.1806 0.2218 0.8416
Br2 0.1806 0.2782 0.3416
Br3 0.2016 0.7370 0.5012
Br4 0.2016 0.7630 0.0012
Br5 0.4940 0.2263 0.1562
Br6 0.4940 0.2737 0.6562
Br7 0.5060 0.7263 0.3438
Br8 0.5060 0.7737 0.8438
Br9 0.7984 0.2370 0.9988
Br10 0.7984 0.2630 0.4988
Br11 0.8194 0.7218 0.6584
Br12 0.8194 0.7782 0.1584

Results
SG	P2_1/c
raw total energy	-23.09	eV per formula unit
energy relative to the lowest polymorph listed for this composition	30.9	meV per atom
formation energy from raw total energies	-0.215	eV per atom



No. 24
Compound: AgPBr2
Source: Alexandria
Functional: PBE
Structure: relaxed

a b c (Å): 8.0727 8.0727 8.0727
angles (deg): 155.58 151.02 38.25
Element x y z (fractional)
Ag1 0.0000 0.0000 0.0000
P1 0.8712 0.3712 0.5000
Br1 0.3202 0.8202 0.5000
Br2 0.5836 0.5836 0.0000

Results
SG	Imm2
raw total energy	-10.60	eV per formula unit
energy relative to the lowest polymorph listed for this composition	207.5	meV per atom
formation energy from raw total energies	0.252	eV per atom



No. 25
Compound: Ag2PBr
Source: Alexandria
Functional: PBE
Structure: relaxed

a b c (Å): 3.0446 3.9591 7.6564
angles (deg): 90.00 90.01 90.00
Element x y z (fractional)
Ag1 0.0000 0.0000 0.0000
Ag2 0.9999 0.5000 0.3685
P1 0.4996 0.0000 0.2664
Br1 0.9951 0.5000 0.7470

Results
SG	Pm
raw total energy	-12.29	eV per formula unit
formation energy from raw total energies	0.123	eV per atom



No. 26
Compound: Ag2PBr
Source: Alexandria
Functional: PBE
Structure: relaxed

a b c (Å): 3.5166 3.5166 7.6993
angles (deg): 90.00 90.00 115.75
Element x y z (fractional)
Ag1 0.0000 0.0000 0.2247
Ag2 0.0000 0.0000 0.7753
P1 0.5000 0.5000 0.0000
Br1 0.5000 0.5000 0.5000

Results
SG	Cmmm
raw total energy	-11.80	eV per formula unit
formation energy from raw total energies	0.246	eV per atom



No. 27
Compound: AgPBr2
Source: Alexandria
Functional: PBE
Structure: relaxed

a b c (Å): 4.0729 4.0729 7.6267
angles (deg): 90.00 90.00 123.41
Element x y z (fractional)
Ag1 0.0000 0.0000 0.0000
P1 0.0000 0.0000 0.5000
Br1 0.5000 0.5000 0.2605
Br2 0.5000 0.5000 0.7395

Results
SG	Cmmm
raw total energy	-10.01	eV per formula unit
energy relative to the lowest polymorph listed for this composition	353.9	meV per atom
formation energy from raw total energies	0.398	eV per atom



No. 28
Compound: Ag2PBr
Source: Alexandria
Functional: PBE
Structure: relaxed

a b c (Å): 5.0012 5.0012 3.1825
angles (deg): 90.00 90.00 90.00
Element x y z (fractional)
Ag1 0.0000 0.5000 0.0000
Ag2 0.5000 0.0000 0.0000
P1 0.0000 0.0000 0.5000
Br1 0.5000 0.5000 0.5000

Results
SG	P4/mmm
raw total energy	-11.07	eV per formula unit
formation energy from raw total energies	0.428	eV per atom



No. 29
Compound: Ag3PBr
Source: Alexandria
Functional: PBE
Structure: relaxed

a b c (Å): 4.8686 4.8686 4.8686
angles (deg): 90.00 90.00 90.00
Element x y z (fractional)
Ag1 0.0000 0.0000 0.5000
Ag2 0.0000 0.5000 0.0000
Ag3 0.5000 0.0000 0.0000
P1 0.0000 0.0000 0.0000
Br1 0.5000 0.5000 0.5000

Results
SG	Pm-3m
raw total energy	-14.84	eV per formula unit
energy relative to the lowest polymorph listed for this composition	0.0	meV per atom
formation energy from raw total energies	0.159	eV per atom